DFT (PBE) results for crystalline SrCu2PtSe at its relaxed geometry.

Cell lengths 4.7310, 4.7310, 5.7873 Å; angles 90.00, 90.00, 90.00 degrees
Closest atoms and distances in Å follow each position.
Space group P4/mmm (No. 123)
Inequivalent atoms, fractional coordinates:
Sr  0.0000  0.0000  0.0000 (multiplicity 1)  2 Pt 2.89
Cu  0.0000  0.5000  0.5000 (multiplicity 2)  2 Pt 2.37
Pt  0.0000  0.0000  0.5000 (multiplicity 1)  4 Cu 2.37
Se  0.5000  0.5000  0.0000 (multiplicity 1)  4 Sr 3.35, 8 Cu 3.74

Properties
As for the uncorrected formation energy: 6 kJ/mol of formula units. The value obtained for the density of states at the Fermi level is 2.4 states/eV per cell. Its magnetic moment is 0.00 μB/cell. The crystal system is tetragonal.

***

DFT (PBE) results for crystalline CuTePtSe2 at its relaxed geometry.

Cell lengths 4.5700, 4.5700, 5.3909 Å; angles 90.00, 90.00, 90.00 degrees
Closest atoms and distances in Å follow each position.
Space group P4/mmm (No. 123)
Inequivalent atoms, fractional coordinates:
Cu  0.0000  0.0000  0.0000 (multiplicity 1)  4 Se 2.29
Te  0.0000  0.0000  0.5000 (multiplicity 1)  2 Cu 2.70
Pt  0.5000  0.5000  0.5000 (multiplicity 1)  4 Te 3.23, 8 Se 3.53
Se  0.0000  0.5000  0.0000 (multiplicity 2)  2 Cu 2.29

Properties
As for the uncorrected formation energy: 375 kJ/mol of formula units. The value obtained for the density of states at the Fermi level is 7.2 states/eV per cell. Its magnetic moment is 0.00 μB/cell. The crystal system is tetragonal.

***

DFT (PBE) results for crystalline Tl2CuPt2Se6 at its relaxed geometry.

Cell lengths 6.5752, 11.4896, 7.7387 Å; angles 90.00, 107.02, 90.00 degrees
Closest atoms and distances in Å follow each position.
Space group C2/m (No. 12)
Inequivalent atoms, fractional coordinates:
Tl  0.0000  0.1628  0.0000 (multiplicity 4)  6 Se 3.22-3.27
Cu  0.0000  0.0000  0.5000 (multiplicity 2)  6 Se 2.52-2.62
Pt  0.0000  0.3321  0.5000 (multiplicity 4)  6 Se 2.55
Se  0.2254  0.5000  0.6684 (multiplicity 4)  1 Cu 2.52, 2 Pt 2.55
Se  0.2321  0.1702  0.6803 (multiplicity 8)  2 Pt 2.55, 1 Cu 2.62

Properties
As for the uncorrected formation energy: -296 kJ/mol of formula units. The value obtained for the density of states at the Fermi level is 13.8 states/eV per cell. Its magnetic moment is 0.00 μB/cell. The crystal system is monoclinic.

***

DFT (PBE) results for crystalline TlCuPtSe2 at its relaxed geometry.

Cell lengths 3.7868, 4.0922, 7.2354 Å; angles 90.00, 90.00, 90.00 degrees
Closest atoms and distances in Å follow each position.
Space group Pmmm (No. 47)
Inequivalent atoms, fractional coordinates:
Tl  0.0000  0.0000  0.0000 (multiplicity 1)  8 Se 3.41, 2 Tl 3.79
Cu  0.5000  0.0000  0.5000 (multiplicity 1)  4 Se 2.64, 4 Pt 2.79
Pt  0.0000  0.5000  0.5000 (multiplicity 1)  4 Se 2.52, 4 Cu 2.79
Se  0.5000  0.5000  0.2704 (multiplicity 2)  2 Pt 2.52, 2 Cu 2.64

Properties
As for the uncorrected formation energy: -120 kJ/mol of formula units. The value obtained for the density of states at the Fermi level is 1.1 states/eV per cell. Its magnetic moment is 0.00 μB/cell. The crystal system is orthorhombic.